# 1
SrTa (PBE, optimized geometry); excess energy over the best structure of this formula in the dataset = 569 meV/atom; formation energy from the elements = 2.13 eV/f.u.
1.0
12.067 0.000 0.000
-6.033 10.450 0.000
0.000 0.000 3.147
Sr Ta
6 6
direct
0.051 0.338 0.250
0.287 0.949 0.250
0.338 0.287 0.750
0.662 0.713 0.250
0.713 0.051 0.750
0.949 0.662 0.750
0.197 0.646 0.250
0.354 0.552 0.250
0.448 0.803 0.250
0.552 0.197 0.750
0.646 0.448 0.750
0.803 0.354 0.750

=====

# 2
SrTa (PBE, optimized geometry); excess energy over the best structure of this formula in the dataset = 2521 meV/atom; formation energy from the elements = 6.04 eV/f.u.
1.0
0.000 3.836 3.836
3.836 0.000 3.836
3.836 3.836 0.000
Sr Ta
1 1
direct
0.000 0.000 0.000
0.250 0.250 0.250

=====

# 3
SrTa2 (PBE, optimized geometry); excess energy over the best structure of this formula in the dataset = 110 meV/atom; formation energy from the elements = 1.96 eV/f.u.
1.0
-1.785 1.785 6.021
1.785 -1.785 6.021
1.785 1.785 -6.021
Sr Ta
1 2
direct
0.000 0.000 0.000
0.293 0.293 0.000
0.707 0.707 0.000

=====

# 4
SrTa (PBE, optimized geometry); excess energy over the best structure of this formula in the dataset = 128 meV/atom; formation energy from the elements = 1.25 eV/f.u.
1.0
12.067 0.000 0.000
0.000 12.067 0.000
0.000 0.000 4.517
Sr Ta
8 8
direct
0.098 0.369 0.000
0.209 0.657 0.500
0.343 0.209 0.500
0.369 0.902 0.000
0.631 0.098 0.000
0.657 0.791 0.500
0.791 0.343 0.500
0.902 0.631 0.000
0.041 0.157 0.500
0.093 0.841 0.000
0.157 0.959 0.500
0.159 0.093 0.000
0.841 0.907 0.000
0.843 0.041 0.500
0.907 0.159 0.000
0.959 0.843 0.500